TiNbB2 PBE-GGA optimized geometry; magnetic moment = 0.00 Bohr magnetons per cell; E = -7.2361 eV per atom; calculated formation energy = 0.5938 eV/atom; polymorph energy (0 for the lowest one) = 1413 meV per atom; DOS(E_F) = 2.1 states/eV/f.u.
1.0
-2.490 2.490 4.994
2.490 -2.490 4.994
2.490 2.490 -4.994
Ti Nb B
2 2 4
Direct
0.000 0.000 0.000
0.750 0.250 0.500
0.250 0.750 0.500
0.500 0.500 0.000
0.125 0.625 0.000
0.375 0.375 0.500
0.625 0.125 0.000
0.875 0.875 0.500

AcPuTe2N PBE-GGA optimized geometry; raw formation energy = -1.191 eV/atom; magnetic moment = 7.69 Bohr magnetons per cell; E = -7.8013 eV per atom; DOS(E_F) = 6.8 states/eV/f.u.
1.0
4.177 0.000 0.000
0.000 4.177 0.000
0.000 0.000 17.116
Ac Pu Te N
2 2 4 2
Direct
0.250 0.250 0.154
0.750 0.750 0.846
0.250 0.250 0.558
0.750 0.750 0.442
0.250 0.250 0.338
0.250 0.250 0.923
0.750 0.750 0.077
0.750 0.750 0.662
0.250 0.750 0.500
0.750 0.250 0.500